Record 1
MgTaRe2F: relaxed, GGA-PBE.

Geometry as POSCAR:
```
MgTaRe2F
1.0
4.769 0.000 0.000
0.000 5.724 0.000
0.000 0.000 4.769
Re Mg F Ta
2 1 1 1
direct
0.000 0.000 0.500 Re
0.500 0.000 0.000 Re
0.000 0.500 0.000 Mg
0.500 0.500 0.500 F
0.000 0.000 0.000 Ta
```

## Properties
Final energy, eV per atom: -6.32
SG: No. 123

---

Record 2
Cr3Ru2Rh2: relaxed, GGA-PBE.

Geometry as POSCAR:
```
Cr3Ru2Rh2
1.0
5.998 0.000 -2.121
-2.999 5.194 -2.121
0.000 0.000 6.362
Cr Ru Rh
6 4 4
direct
0.750 0.664 0.414 Cr
0.250 0.836 0.086 Cr
0.586 0.750 0.836 Cr
0.914 0.250 0.664 Cr
0.336 0.086 0.750 Cr
0.164 0.414 0.250 Cr
0.000 0.000 0.887 Ru
0.500 0.887 0.500 Ru
0.113 0.613 0.613 Ru
0.387 0.500 0.000 Ru
0.500 0.314 0.500 Rh
0.000 0.000 0.314 Rh
0.686 0.186 0.186 Rh
0.814 0.500 0.000 Rh
```

## Properties
Formation energy, eV per formula unit: 2.5
SG: No. 199

---

Record 3
RbLiPN2: relaxed, GGA-PBE.

Geometry as POSCAR:
```
RbLiPN2
1.0
-1.935 2.538 1.288
-0.945 -0.276 -5.472
-5.295 -5.433 2.752
Rb Li P N
2 2 2 4
direct
0.349 0.699 0.367 Rb
0.651 0.301 0.633 Rb
0.687 0.374 0.046 Li
0.313 0.626 0.954 Li
0.050 0.100 0.155 P
0.950 0.900 0.845 P
0.406 0.812 0.755 N
0.594 0.188 0.245 N
0.107 0.214 0.959 N
0.893 0.786 0.041 N
```

## Properties
Final energy, eV per atom: -5.20
SG: No. 12

---

Record 4
MgTe2Pd8: relaxed, GGA-PBE.

Geometry as POSCAR:
```
MgTe2Pd8
1.0
-3.459 2.924 -2.045
-2.992 -4.868 -0.330
0.755 2.443 7.302
Mg Te Pd
1 2 8
direct
0.092 0.910 0.909 Mg
0.694 0.592 0.229 Te
0.488 0.225 0.590 Te
0.855 0.310 0.941 Pd
0.965 0.010 0.575 Pd
0.272 0.335 0.283 Pd
0.695 0.018 0.144 Pd
0.216 0.808 0.243 Pd
0.909 0.483 0.535 Pd
0.327 0.508 0.877 Pd
0.486 0.800 0.675 Pd
```

## Properties
Excess energy over the best structure of this formula in the dataset, kJ/mol of atoms: 2.3
SG: No. 1

---

Record 5
AgAuSe4: relaxed, GGA-PBE.

Geometry as POSCAR:
```
AgAuSe4
1.0
5.412 -1.850 0.163
2.853 -0.067 4.960
1.244 -4.985 2.518
Ag Au Se
1 1 4
direct
0.750 0.750 0.750 Ag
0.000 0.000 0.000 Au
0.375 0.876 0.375 Se
0.876 0.375 0.375 Se
0.375 0.375 0.876 Se
0.375 0.375 0.375 Se
```

## Properties
Final energy, eV per atom: -2.72
SG: No. 216

---

Record 6
ZnGe2Rh2: relaxed, GGA-PBE.

Geometry as POSCAR:
```
ZnGe2Rh2
1.0
7.343 0.000 0.000
0.000 7.343 0.000
0.000 0.000 2.855
Ge Rh Zn
4 4 2
direct
0.350 0.850 0.000 Ge
0.850 0.650 0.000 Ge
0.650 0.150 0.000 Ge
0.150 0.350 0.000 Ge
0.146 0.646 0.500 Rh
0.646 0.854 0.500 Rh
0.854 0.354 0.500 Rh
0.354 0.146 0.500 Rh
0.000 0.000 0.000 Zn
0.500 0.500 0.000 Zn
```

## Properties
Formation energy, eV per formula unit: -1.2
Excess energy over the best structure of this formula in the dataset, kJ/mol of atoms: 8.7
SG: No. 127

---

Record 7
Fe2NiPb: relaxed, GGA-PBE.

Geometry as POSCAR:
```
Fe2NiPb
1.0
-1.777 2.635 1.970
-3.290 -1.421 -1.068
-2.543 -4.687 7.524
Pb Ni Fe
2 2 4
direct
0.000 0.000 0.000 Pb
0.750 0.250 0.500 Pb
0.500 0.500 0.000 Ni
0.250 0.750 0.500 Ni
0.524 0.125 0.250 Fe
0.226 0.625 0.250 Fe
0.375 0.476 0.750 Fe
0.875 0.774 0.750 Fe
```

## Properties
Formation energy, eV per formula unit: 3.2
SG: No. 122

---

Record 8
SmHfZnPt: relaxed, GGA-PBE.

Geometry as POSCAR:
```
SmHfZnPt
1.0
4.890 0.000 0.000
2.445 4.235 0.000
2.445 1.412 3.993
Zn Hf Sm Pt
1 1 1 1
direct
0.250 0.250 0.250 Zn
0.000 0.000 0.000 Hf
0.500 0.500 0.500 Sm
0.750 0.750 0.750 Pt
```

## Properties
Formation energy, eV per formula unit: -2.1
SG: No. 216

---

Record 9
KMoPt: relaxed, GGA-PBE.

Geometry as POSCAR:
```
KMoPt
1.0
2.906 0.000 0.000
-1.453 2.517 0.000
0.000 0.000 8.163
K Mo Pt
1 1 1
direct
0.000 0.000 0.987 K
0.667 0.333 0.376 Mo
0.333 0.667 0.637 Pt
```

## Properties
Formation energy, eV per formula unit: 2.0
Excess energy over the best structure of this formula in the dataset, kJ/mol of atoms: 19.6
SG: No. 156

---

Record 10
SmCd2Sn3: relaxed, GGA-PBE.

Geometry as POSCAR:
```
SmCd2Sn3
1.0
4.491 0.000 0.000
0.000 4.403 -1.489
0.000 0.168 7.754
Sm Cd Sn
1 2 3
direct
0.000 0.000 0.000 Sm
0.000 0.665 0.331 Cd
0.000 0.335 0.669 Cd
0.500 0.170 0.341 Sn
0.500 0.500 0.000 Sn
0.500 0.830 0.659 Sn
```

## Properties
Formation energy, eV per formula unit: -1.6
SG: No. 65

---

Record 11
PmZrPtRh: relaxed, GGA-PBE.

Geometry as POSCAR:
```
PmZrPtRh
1.0
-1.579 2.817 3.633
-2.899 -1.857 3.432
1.691 -0.671 4.508
Rh Zr Pt Pm
1 1 1 1
direct
0.250 0.250 0.250 Rh
0.500 0.500 0.500 Zr
0.750 0.750 0.750 Pt
0.000 0.000 0.000 Pm
```

## Properties
Formation energy, eV per formula unit: -3.0
SG: No. 216

---

Record 12
AlPd2Br: relaxed, GGA-PBE.

Geometry as POSCAR:
```
AlPd2Br
1.0
-2.839 -1.588 -3.146
3.317 -2.568 -1.697
-1.872 -8.063 2.505
Br Pd Al
2 4 2
direct
0.000 0.000 0.000 Br
0.750 0.250 0.500 Br
0.581 0.125 0.250 Pd
0.169 0.625 0.250 Pd
0.375 0.419 0.750 Pd
0.875 0.831 0.750 Pd
0.500 0.500 0.000 Al
0.250 0.750 0.500 Al
```

## Properties
Excess energy over the best structure of this formula in the dataset, kJ/mol of atoms: 4.2
SG: No. 122